Here is BaSrAs2 after structural relaxation from Alexandria. Energies are from GGA-PBE.

Structure (POSCAR):
```
BaSrAs2
1.0
0.0000 3.9406 3.9406
3.9406 0.0000 3.9406
3.9406 3.9406 0.0000
Ba Sr As
1 1 2
Direct
0.0000 0.0000 0.0000 Ba
0.5000 0.5000 0.5000 Sr
0.2500 0.2500 0.2500 As
0.7500 0.7500 0.7500 As
```

Crystal system = cubic
E_form = -791 meV per atom
E above lowest polymorph = 186 meV per atom

***

Here is PaCo2P3 after structural relaxation from Alexandria. Energies are from GGA-PBE.

Structure (POSCAR):
```
PaCo2P3
1.0
3.5434 -5.0874 0.0000
3.5434 5.0874 0.0000
0.0000 0.0000 5.0696
Pa Co P
2 4 6
Direct
0.2246 0.7754 0.7500 Pa
0.7754 0.2246 0.2500 Pa
0.3145 0.3145 0.0000 Co
0.3145 0.3145 0.5000 Co
0.6855 0.6855 0.0000 Co
0.6855 0.6855 0.5000 Co
0.0241 0.2850 0.7500 P
0.2850 0.0241 0.2500 P
0.3810 0.6190 0.2500 P
0.6190 0.3810 0.7500 P
0.7150 0.9759 0.7500 P
0.9759 0.7150 0.2500 P
```

Crystal system = orthorhombic
E_form = -724 meV per atom

***

Here is BeHgS2 after structural relaxation from Alexandria. Energies are from GGA-PBE.

Structure (POSCAR):
```
BeHgS2
1.0
5.3817 -4.8321 0.0000
5.3817 4.8321 0.0000
-2.4279 0.0000 12.7015
Be Hg S
8 8 16
Direct
0.0880 0.7423 0.8482 Be
0.2577 0.9120 0.6518 Be
0.3282 0.4134 0.6554 Be
0.4134 0.3282 0.1554 Be
0.5866 0.6718 0.8446 Be
0.6718 0.5866 0.3446 Be
0.7423 0.0880 0.3482 Be
0.9120 0.2577 0.1518 Be
0.0993 0.2702 0.8862 Hg
0.1556 0.5940 0.3920 Hg
0.2702 0.0993 0.3862 Hg
0.4060 0.8444 0.1080 Hg
0.5940 0.1556 0.8920 Hg
0.7298 0.9007 0.6138 Hg
0.8444 0.4060 0.6080 Hg
0.9007 0.7298 0.1138 Hg
0.0465 0.9535 0.7500 S
0.1014 0.4804 0.7495 S
0.1531 0.2353 0.0713 S
0.2353 0.1531 0.5713 S
0.3153 0.6441 0.5676 S
0.3559 0.6847 0.9324 S
0.4117 0.5883 0.2500 S
0.4804 0.1014 0.2495 S
0.5196 0.8986 0.7505 S
0.5883 0.4117 0.7500 S
0.6441 0.3153 0.0676 S
0.6847 0.3559 0.4324 S
0.7647 0.8469 0.4287 S
0.8469 0.7647 0.9287 S
0.8986 0.5196 0.2505 S
0.9535 0.0465 0.2500 S
```

Crystal system = monoclinic
E above lowest polymorph = 83 meV per atom
Raw formation energy = -474 meV per atom

***

Here is NdCu5Pt7 after structural relaxation from Alexandria. Energies are from GGA-PBE.

Structure (POSCAR):
```
NdCu5Pt7
1.0
-2.5245 4.4385 4.4784
2.5245 -4.4385 4.4784
2.5245 4.4385 -4.4784
Nd Cu Pt
1 5 7
Direct
0.0000 0.0000 0.0000 Nd
0.5042 0.0009 0.0065 Cu
0.5042 0.4977 0.5033 Cu
0.7714 0.2714 0.5000 Cu
0.9944 0.0009 0.4967 Cu
0.9944 0.4977 0.9935 Cu
0.2146 0.4978 0.7168 Pt
0.2222 0.7222 0.5000 Pt
0.3457 0.9998 0.3459 Pt
0.3471 0.3471 0.0000 Pt
0.6539 0.9998 0.6541 Pt
0.6546 0.6546 0.0000 Pt
0.7810 0.4978 0.2832 Pt
```

Crystal system = orthorhombic
E_form = -344 meV per atom

***

Here is MgTa3Ag after structural relaxation from Alexandria. Energies are from GGA-PBE.

Structure (POSCAR):
```
MgTa3Ag
1.0
4.7256 0.0000 0.0000
0.0000 4.7256 0.0000
0.0000 0.0000 4.7256
Mg Ta Ag
1 3 1
Direct
0.0000 0.0000 0.0000 Mg
0.0000 0.0000 0.5000 Ta
0.0000 0.5000 0.0000 Ta
0.5000 0.0000 0.0000 Ta
0.5000 0.5000 0.5000 Ag
```

Crystal system = cubic
E_form = 1958 meV per atom
E above lowest polymorph = 104 meV per atom

***

Here is Ac6Ni2AgI3 after structural relaxation from Alexandria. Energies are from GGA-PBE.

Structure (POSCAR):
```
Ac6Ni2AgI3
1.0
3.8748 -6.7047 0.0000
3.8748 6.7047 0.0000
-2.5941 0.0000 8.5663
Ac Ni Ag I
6 2 1 3
Direct
0.0804 0.4374 0.8131 Ac
0.2055 0.2055 0.1860 Ac
0.4374 0.0804 0.8131 Ac
0.5626 0.9196 0.1869 Ac
0.7945 0.7945 0.8140 Ac
0.9196 0.5626 0.1869 Ac
0.1669 0.8331 0.0000 Ni
0.8331 0.1669 0.0000 Ni
0.5000 0.5000 0.0000 Ag
0.0000 0.0000 0.5000 I
0.3367 0.6633 0.5000 I
0.6633 0.3367 0.5000 I
```

Crystal system = monoclinic
Raw formation energy = -668 meV per atom

***

no.,E (hartree per atom),total magnetic moment (μB/atom)
1,-0.14763,0.00
2,-0.27121,0.00
3,-0.13027,0.00
4,-0.20356,0.00
5,-0.22207,0.00
6,-0.15843,0.00